# 1
The following is a DFT calculation (PBE) of crystalline CsRh2Pb8 at its relaxed geometry.

Unit cell a=9.6681 b=12.8084 c=5.4410 alpha=90.00 beta=97.94 gamma=90.00
With the nearest neighbours (Å) after each atom.
Space group C2/m (No. 12)
Inequivalent atoms, fractional coordinates:
Cs (0.0000, 0.0000, 0.0000) x2  8 Pb 3.58-3.79
Rh (0.0000, 0.3027, 0.5000) x4  8 Pb 2.74-3.03
Pb (0.0000, 0.2792, 0.0000) x4  2 Rh 2.74
Pb (0.1132, 0.5000, 0.7618) x4  2 Rh 3.03, 5 Pb 3.34-3.36
Pb (0.2234, 0.1408, 0.6294) x8  2 Rh 2.95-3.01, 2 Pb 3.21-3.28

---

# 2
The following is a DFT calculation (PBE) of crystalline CsRh2Pb2 at its relaxed geometry.

Unit cell a=4.8584 b=4.8584 c=11.3302 alpha=90.00 beta=90.00 gamma=90.00
With the nearest neighbours (Å) after each atom.
Space group I4/mmm (No. 139)
Inequivalent atoms, fractional coordinates:
Cs (0.0000, 0.0000, 0.0000) x2  8 Rh 3.68, 8 Pb 3.73
Rh (0.0000, 0.0000, 0.3842) x4  1 Rh 2.62, 4 Pb 2.87
Pb (0.0000, 0.5000, 0.2500) x4  4 Rh 2.87

---

Calculated formation energy? In order: 11.2, 80.9 kJ/mol of formula units.